Entry 1:
Here is a geometry-optimized PrPaAs2Rh5 structure from Alexandria. Energies are from PBE.

a b c (Å): 4.042 4.042 11.388
angles (deg): 90.00 90.00 90.00
Element x y z (fractional)
Rh 0.500 0.000 0.836
Rh 0.000 0.000 0.500
Rh 0.000 0.500 0.836
Rh 0.000 0.500 0.164
Rh 0.500 0.000 0.164
As 0.000 0.000 0.710
As 0.000 0.000 0.290
Pa 0.000 0.000 0.000
Pr 0.500 0.500 0.500

## Properties
For the formation energy, the calculation gives -0.5194 eV/atom. The space group is P4/mmm, No. 123.

***

Entry 2:
Here is a geometry-optimized Pr2PaAs3Rh4 structure from Alexandria. Energies are from PBE.

a b c (Å): 4.222 4.222 11.216
angles (deg): 90.00 90.00 90.00
Element x y z (fractional)
Rh 0.000 0.500 0.352
Rh 0.500 0.000 0.648
Rh 0.000 0.000 0.000
Rh 0.500 0.500 0.000
As 0.000 0.500 0.130
As 0.500 0.000 0.870
As 0.000 0.000 0.500
Pr 0.500 0.000 0.218
Pr 0.000 0.500 0.782
Pa 0.500 0.500 0.500

## Properties
For the formation energy, the calculation gives -0.9257 eV/atom. The space group is P-4m2, No. 115.

***

Entry 3:
Here is a geometry-optimized Pr3Sc2PaAs6 structure from Alexandria. Energies are from PBE.

a b c (Å): 7.136 7.136 7.202
angles (deg): 99.50 99.50 120.02
Element x y z (fractional)
As 0.924 0.587 0.773
As 0.413 0.076 0.227
As 0.738 0.738 0.225
As 0.587 0.924 0.773
As 0.076 0.413 0.227
As 0.262 0.262 0.775
Pa 0.000 0.000 0.000
Sc 0.333 0.667 0.000
Sc 0.667 0.333 0.000
Pr 0.500 0.500 0.500
Pr 0.166 0.834 0.500
Pr 0.834 0.166 0.500

## Properties
For the formation energy, the calculation gives -1.3738 eV/atom. The space group is C2/m, No. 12.

***

Entry 4:
Here is a geometry-optimized PrSc2PaAs4 structure from Alexandria. Energies are from PBE.

a b c (Å): 4.061 6.921 7.050
angles (deg): 70.32 90.00 90.00
Element x y z (fractional)
As 0.500 0.233 0.749
As 0.000 0.230 0.266
As 0.000 0.770 0.734
As 0.500 0.767 0.251
Pa 0.000 0.500 0.500
Sc 0.500 0.000 0.500
Sc 0.000 0.000 0.000
Pr 0.500 0.500 0.000

## Properties
For the formation energy, the calculation gives -1.3040 eV/atom. The space group is P2/m, No. 10.

***

Entry 5:
Here is a geometry-optimized Pr2PaAs2Se2 structure from Alexandria. Energies are from PBE.

a b c (Å): 5.428 5.428 8.333
angles (deg): 109.01 109.01 90.00
Element x y z (fractional)
Se 0.812 0.812 0.624
Se 0.188 0.188 0.376
Pr 0.381 0.381 0.761
Pr 0.619 0.619 0.239
Pa 0.000 0.000 0.000
As 0.000 0.500 0.000
As 0.500 0.000 0.000

## Properties
The space group is I4/mmm, No. 139. As for the uncorrected formation energy: -111.7 kJ per mole of atoms.

***

Entry 6:
Here is a geometry-optimized Pr3Sm2PaAs6 structure from Alexandria. Energies are from PBE.

a b c (Å): 7.328 7.328 7.344
angles (deg): 99.56 99.56 119.99
Element x y z (fractional)
Pr 0.169 0.831 0.500
Pr 0.500 0.500 0.500
Pr 0.831 0.169 0.500
As 0.079 0.404 0.239
As 0.596 0.921 0.761
As 0.404 0.079 0.239
As 0.756 0.756 0.239
As 0.244 0.244 0.761
As 0.921 0.596 0.761
Sm 0.334 0.666 0.000
Sm 0.666 0.334 0.000
Pa 0.000 0.000 0.000

## Properties
For the formation energy, the calculation gives -1.4555 eV/atom. The space group is C2/m, No. 12.

***

Entry 7:
Here is a geometry-optimized PrSm2PaAs4 structure from Alexandria. Energies are from PBE.

a b c (Å): 4.205 7.284 7.258
angles (deg): 109.44 90.00 90.00
Element x y z (fractional)
As 0.000 0.260 0.756
As 0.000 0.740 0.244
As 0.500 0.260 0.248
As 0.500 0.740 0.752
Pr 0.000 0.000 0.000
Sm 0.500 0.000 0.500
Sm 0.000 0.500 0.500
Pa 0.500 0.500 0.000

## Properties
For the formation energy, the calculation gives -1.4046 eV/atom. The space group is P2/m, No. 10.

***

Entry 8:
Here is a geometry-optimized PrSm2PaAs5 structure from Alexandria. Energies are from PBE.

a b c (Å): 5.073 5.073 11.101
angles (deg): 90.00 90.00 90.00
Element x y z (fractional)
As 0.000 0.500 0.500
As 0.500 0.500 0.000
As 0.000 0.000 0.251
As 0.500 0.000 0.500
As 0.000 0.000 0.749
Pa 0.000 0.000 0.500
Sm 0.500 0.500 0.730
Sm 0.500 0.500 0.270
Pr 0.000 0.000 0.000

## Properties
For the formation energy, the calculation gives -0.5846 eV/atom. The space group is P4/mmm, No. 123.

***

Final energy (computed, eV/atom): -7.223; -7.167; -6.740; -6.996; -6.204; -6.553; -6.694; -5.802